[1]
Computed, not measured: a relaxed structure of LaLuNiPd at the PBE level of DFT.

Properties
- Spin magnetization: 0.00 μB per cell
- Symmetry: F-43m, No. 216
- Energy of formation: -0.55 eV/atom

a b c (Å): 4.966 4.966 4.966
angles (deg): 60.00 60.00 60.00
Positions (direct):
Ni 0.250 0.250 0.250
Lu 0.500 0.500 0.500
Pd 0.750 0.750 0.750
La 0.000 0.000 0.000

---

[2]
Computed, not measured: a relaxed structure of LaLuNiPt at the PBE level of DFT.

Properties
- Spin magnetization: 0.00 μB per cell
- Symmetry: F-43m, No. 216
- Energy of formation: -0.73 eV/atom

a b c (Å): 4.957 4.957 4.957
angles (deg): 60.00 60.00 60.00
Positions (direct):
Lu 0.000 0.000 0.000
Pt 0.750 0.750 0.750
Ni 0.250 0.250 0.250
La 0.500 0.500 0.500

---

[3]
Computed, not measured: a relaxed structure of LaLuNiRu at the PBE level of DFT.

Properties
- Spin magnetization: 0.00 μB per cell
- Symmetry: F-43m, No. 216
- Energy of formation: -0.30 eV/atom

a b c (Å): 4.867 4.867 4.867
angles (deg): 60.00 60.00 60.00
Positions (direct):
Ni 0.750 0.750 0.750
Ru 0.250 0.250 0.250
La 0.500 0.500 0.500
Lu 0.000 0.000 0.000

---

[4]
Computed, not measured: a relaxed structure of LaLuZnNi at the PBE level of DFT.

Properties
- Spin magnetization: 0.00 μB per cell
- Symmetry: F-43m, No. 216
- Energy of formation: -0.28 eV/atom

a b c (Å): 5.001 5.001 5.001
angles (deg): 60.00 60.00 60.00
Positions (direct):
Lu 0.000 0.000 0.000
Ni 0.750 0.750 0.750
Zn 0.250 0.250 0.250
La 0.500 0.500 0.500

---

[5]
Computed, not measured: a relaxed structure of LaLuO at the PBE level of DFT.

Properties
- E_form (uncorrected): -513 kJ/mol of formula units
- Spin magnetization: 0.16 μB per cell
- Symmetry: P3m1, No. 156

a b c (Å): 3.533 3.533 6.180
angles (deg): 90.00 90.00 120.00
Site moments in Bohr magnetons follow the coordinates.
Positions (direct):
O 0.667 0.333 0.383  0.00
La 0.000 0.000 0.078  0.06
Lu 0.333 0.667 0.539  -0.18

---

[6]
Computed, not measured: a relaxed structure of LaLuO3 at the PBE level of DFT.

Properties
- E_form (uncorrected): -1723 kJ/mol of formula units
- Spin magnetization: 0.00 μB per cell
- Symmetry: Pnma, No. 62

a b c (Å): 5.826 6.009 8.404
angles (deg): 90.00 90.00 90.00
Positions (direct):
O 0.380 0.949 0.250
La 0.515 0.548 0.250
O 0.305 0.697 0.936
La 0.985 0.048 0.250
O 0.195 0.197 0.564
Lu 0.500 0.000 0.500
Lu 0.000 0.500 0.500
O 0.805 0.803 0.436
O 0.805 0.803 0.064
O 0.880 0.551 0.750
O 0.120 0.449 0.250
O 0.195 0.197 0.936
La 0.015 0.952 0.750
O 0.305 0.697 0.564
La 0.485 0.452 0.750
O 0.620 0.051 0.750
Lu 0.500 0.000 0.000
Lu 0.000 0.500 0.000
O 0.695 0.303 0.436
O 0.695 0.303 0.064

---

[7]
Computed, not measured: a relaxed structure of LaLu2Os at the PBE level of DFT.

Properties
- Spin magnetization: 0.00 μB per cell
- Symmetry: P4/mmm, No. 123
- Energy of formation: -0.22 eV/atom

a b c (Å): 3.382 3.382 9.219
angles (deg): 90.00 90.00 90.00
Positions (direct):
La 0.500 0.500 0.500
Lu 0.000 0.000 0.173
Lu 0.000 0.000 0.827
Os 0.500 0.500 0.000

---

[8]
Computed, not measured: a relaxed structure of LaLuOsPd at the PBE level of DFT.

Properties
- Spin magnetization: 0.00 μB per cell
- Symmetry: F-43m, No. 216
- Energy of formation: -0.44 eV/atom

a b c (Å): 4.951 4.951 4.951
angles (deg): 60.00 60.00 60.00
Positions (direct):
Lu 0.250 0.250 0.250
Os 0.500 0.500 0.500
Pd 0.000 0.000 0.000
La 0.750 0.750 0.750

---

[9]
Computed, not measured: a relaxed structure of LaLuP at the PBE level of DFT.

Properties
- Spin magnetization: 0.31 μB per cell
- Symmetry: P3m1, No. 156
- Energy of formation: -0.91 eV/atom

a b c (Å): 6.665 3.946 3.946
angles (deg): 120.00 90.00 90.00
Site moments in Bohr magnetons follow the coordinates.
Positions (direct):
La 0.748 0.667 0.333  -0.12
Lu 0.236 0.333 0.667  0.01
P 0.016 0.000 0.000  0.00

---

[10]
Computed, not measured: a relaxed structure of LaLuP2 at the PBE level of DFT.

Properties
- Spin magnetization: 0.00 μB per cell
- Symmetry: R-3m, No. 166
- Energy of formation: -1.56 eV/atom

a b c (Å): 4.101 4.101 7.083
angles (deg): 73.17 73.17 60.00
Positions (direct):
Lu 0.000 0.000 0.000
P 0.257 0.257 0.230
La 0.500 0.500 0.500
P 0.743 0.743 0.770

---

[11]
Computed, not measured: a relaxed structure of LaLuPa at the PBE level of DFT.

Properties
- Spin magnetization: 0.00 μB per cell
- Symmetry: I4mm, No. 107
- Energy of formation: 0.15 eV/atom
- Energy above the most stable polymorph in this dataset: 16 meV per atom

a b c (Å): 3.409 3.409 8.030
angles (deg): 102.25 102.25 90.00
Positions (direct):
Lu 0.681 0.681 0.361
Pa 0.331 0.331 0.662
La 0.989 0.989 0.977

---

[12]
Computed, not measured: a relaxed structure of LaLuPa at the PBE level of DFT.

Properties
- Spin magnetization: 0.00 μB per cell
- Symmetry: P3m1, No. 156
- Energy of formation: 0.14 eV/atom
- Energy above the most stable polymorph in this dataset: 0 meV per atom

a b c (Å): 3.427 3.427 8.642
angles (deg): 90.00 90.00 120.00
Positions (direct):
Pa 0.000 0.000 0.005
Lu 0.667 0.333 0.315
La 0.333 0.667 0.680

---

[13]
Computed, not measured: a relaxed structure of LaLu2Pb at the PBE level of DFT.

Properties
- Spin magnetization: 0.00 μB per cell
- Symmetry: P4/mmm, No. 123
- Energy of formation: -0.17 eV/atom
- Energy above the most stable polymorph in this dataset: 81 meV per atom

a b c (Å): 3.697 3.697 8.891
angles (deg): 90.00 90.00 90.00
Positions (direct):
Pb 0.500 0.500 0.000
Lu 0.000 0.000 0.223
La 0.500 0.500 0.500
Lu 0.000 0.000 0.777

---

[14]
Computed, not measured: a relaxed structure of LaLu2Pb at the PBE level of DFT.

Properties
- Spin magnetization: 0.13 μB per cell
- Symmetry: P4/mmm, No. 123
- Energy of formation: -0.25 eV/atom
- Energy above the most stable polymorph in this dataset: 0 meV per atom

a b c (Å): 4.820 4.932 4.932
angles (deg): 90.00 90.00 90.00
Positions (direct):
Lu 0.000 0.000 0.500
Lu 0.000 0.500 0.000
Pb 0.500 0.000 0.000
La 0.500 0.500 0.500

---

[15]
Computed, not measured: a relaxed structure of LaLuPdPb at the PBE level of DFT.

Properties
- Spin magnetization: 0.00 μB per cell
- Symmetry: F-43m, No. 216
- Energy of formation: -0.59 eV/atom

a b c (Å): 5.307 5.307 5.307
angles (deg): 60.00 60.00 60.00
Positions (direct):
Pd 0.000 0.000 0.000
Lu 0.250 0.250 0.250
La 0.750 0.750 0.750
Pb 0.500 0.500 0.500

---

[16]
Computed, not measured: a relaxed structure of LaPmLuPb at the PBE level of DFT.

Properties
- Spin magnetization: 0.00 μB per cell
- Symmetry: F-43m, No. 216
- Energy of formation: -0.16 eV/atom

a b c (Å): 5.607 5.607 5.607
angles (deg): 60.00 60.00 60.00
Positions (direct):
Lu 0.750 0.750 0.750
La 0.000 0.000 0.000
Pm 0.500 0.500 0.500
Pb 0.250 0.250 0.250

---

[17]
Computed, not measured: a relaxed structure of LaLuTlPb at the PBE level of DFT.

Properties
- Spin magnetization: 0.00 μB per cell
- Symmetry: F-43m, No. 216
- Energy of formation: -0.38 eV/atom

a b c (Å): 5.500 5.500 5.500
angles (deg): 60.00 60.00 60.00
Positions (direct):
Tl 0.000 0.000 0.000
Pb 0.500 0.500 0.500
La 0.750 0.750 0.750
Lu 0.250 0.250 0.250

---

[18]
Computed, not measured: a relaxed structure of LaLuZnPb at the PBE level of DFT.

Properties
- Spin magnetization: 0.00 μB per cell
- Symmetry: F-43m, No. 216
- Energy of formation: -0.36 eV/atom

a b c (Å): 5.338 5.338 5.338
angles (deg): 60.00 60.00 60.00
Positions (direct):
Pb 0.000 0.000 0.000
Zn 0.500 0.500 0.500
La 0.250 0.250 0.250
Lu 0.750 0.750 0.750

---

[19]
Computed, not measured: a relaxed structure of LaLuPd4 at the PBE level of DFT.

Properties
- Spin magnetization: 0.00 μB per cell
- Symmetry: F-43m, No. 216
- Energy of formation: -0.81 eV/atom

a b c (Å): 5.487 5.487 5.487
angles (deg): 60.00 60.00 60.00
Positions (direct):
Pd 0.123 0.626 0.626
Pd 0.626 0.123 0.626
Pd 0.626 0.626 0.626
Lu 0.000 0.000 0.000
Pd 0.626 0.626 0.123
La 0.250 0.250 0.250

---

[20]
Computed, not measured: a relaxed structure of LaLu3Pd at the PBE level of DFT.

Properties
- Spin magnetization: 0.00 μB per cell
- Symmetry: Pm-3m, No. 221
- Energy of formation: -0.24 eV/atom

a b c (Å): 5.387 5.387 5.387
angles (deg): 90.00 90.00 90.00
Positions (direct):
La 0.500 0.500 0.500
Lu 0.000 0.500 0.000
Lu 0.000 0.000 0.500
Pd 0.000 0.000 0.000
Lu 0.500 0.000 0.000

---

[21]
Computed, not measured: a relaxed structure of LaLuPdPt at the PBE level of DFT.

Properties
- Spin magnetization: 0.00 μB per cell
- Symmetry: F-43m, No. 216
- Energy of formation: -0.99 eV/atom

a b c (Å): 5.034 5.034 5.034
angles (deg): 60.00 60.00 60.00
Positions (direct):
Pt 0.500 0.500 0.500
Lu 0.250 0.250 0.250
La 0.750 0.750 0.750
Pd 0.000 0.000 0.000

---

[22]
Computed, not measured: a relaxed structure of LaLuPdRh at the PBE level of DFT.

Properties
- Spin magnetization: 0.00 μB per cell
- Symmetry: F-43m, No. 216
- Energy of formation: -0.80 eV/atom

a b c (Å): 4.985 4.985 4.985
angles (deg): 60.00 60.00 60.00
Positions (direct):
Rh 0.000 0.000 0.000
Pd 0.500 0.500 0.500
Lu 0.750 0.750 0.750
La 0.250 0.250 0.250

---

[23]
Computed, not measured: a relaxed structure of LaLuTlPd at the PBE level of DFT.

Properties
- Spin magnetization: 0.00 μB per cell
- Symmetry: F-43m, No. 216
- Energy of formation: -0.50 eV/atom

a b c (Å): 5.271 5.271 5.271
angles (deg): 60.00 60.00 60.00
Positions (direct):
Tl 0.500 0.500 0.500
Lu 0.250 0.250 0.250
La 0.750 0.750 0.750
Pd 0.000 0.000 0.000

---

[24]
Computed, not measured: a relaxed structure of LaPm2Lu at the PBE level of DFT.

Properties
- Spin magnetization: 0.00 μB per cell
- Symmetry: P4/mmm, No. 123
- Energy of formation: 0.02 eV/atom
- Energy above the most stable polymorph in this dataset: 0 meV per atom

a b c (Å): 5.162 5.107 5.107
angles (deg): 90.00 90.00 90.00
Positions (direct):
Lu 0.500 0.500 0.500
Pm 0.000 0.000 0.500
Pm 0.000 0.500 0.000
La 0.500 0.000 0.000

---

[25]
Computed, not measured: a relaxed structure of LaPmLu at the PBE level of DFT.

Properties
- Spin magnetization: 0.00 μB per cell
- Symmetry: P-6m2, No. 187
- Energy of formation: 0.08 eV/atom
- Energy above the most stable polymorph in this dataset: 39 meV per atom

a b c (Å): 3.484 5.742 5.742
angles (deg): 120.00 90.00 90.00
Positions (direct):
La 0.167 0.000 0.000
Lu 0.166 0.333 0.667
Pm 0.667 0.667 0.333

---

[26]
Computed, not measured: a relaxed structure of La2PmLu at the PBE level of DFT.

Properties
- Spin magnetization: 0.00 μB per cell
- Symmetry: P4/mmm, No. 123
- Energy of formation: 0.03 eV/atom
- Energy above the most stable polymorph in this dataset: 10 meV per atom

a b c (Å): 3.713 3.713 9.994
angles (deg): 90.00 90.00 90.00
Positions (direct):
La 0.000 0.000 0.757
La 0.000 0.000 0.243
Pm 0.500 0.500 0.500
Lu 0.500 0.500 0.000

---

[27]
Computed, not measured: a relaxed structure of LaPm2Lu at the PBE level of DFT.

Properties
- Spin magnetization: 1.03 μB per cell
- Symmetry: Fm-3m, No. 225
- Energy of formation: 0.15 eV/atom
- Energy above the most stable polymorph in this dataset: 134 meV per atom

a b c (Å): 5.787 5.787 5.787
angles (deg): 60.00 60.00 60.00
Site moments in Bohr magnetons follow the coordinates.
Positions (direct):
Lu 0.000 0.000 0.000  0.12
Pm 0.750 0.750 0.750  0.15
La 0.500 0.500 0.500  0.14
Pm 0.250 0.250 0.250  0.15

---

[28]
Computed, not measured: a relaxed structure of LaPm2Lu at the PBE level of DFT.

Properties
- Spin magnetization: 0.00 μB per cell
- Symmetry: P4/mmm, No. 123
- Energy of formation: 0.03 eV/atom
- Energy above the most stable polymorph in this dataset: 11 meV per atom

a b c (Å): 3.629 3.629 10.280
angles (deg): 90.00 90.00 90.00
Positions (direct):
La 0.500 0.500 0.500
Lu 0.500 0.500 0.000
Pm 0.000 0.000 0.241
Pm 0.000 0.000 0.759

---

[29]
Computed, not measured: a relaxed structure of LaPmLu at the PBE level of DFT.

Properties
- Spin magnetization: 0.00 μB per cell
- Symmetry: I4mm, No. 107
- Energy of formation: 0.04 eV/atom
- Energy above the most stable polymorph in this dataset: 0 meV per atom

a b c (Å): 3.645 3.645 8.029
angles (deg): 103.12 103.12 90.00
Positions (direct):
La 0.331 0.331 0.662
Lu 0.665 0.665 0.330
Pm 0.004 0.004 0.008

---

[30]
Computed, not measured: a relaxed structure of La2PmLu at the PBE level of DFT.

Properties
- Spin magnetization: 0.00 μB per cell
- Symmetry: Fm-3m, No. 225
- Energy of formation: 0.09 eV/atom
- Energy above the most stable polymorph in this dataset: 79 meV per atom

a b c (Å): 5.818 5.818 5.818
angles (deg): 60.00 60.00 60.00
Positions (direct):
Pm 0.000 0.000 0.000
La 0.250 0.250 0.250
Lu 0.500 0.500 0.500
La 0.750 0.750 0.750